## AcErTm2S6 (PBE)

Data for crystalline AcErTm2S6 at its relaxed geometry.

M_tot in μB/cell: 0.00
Density of states at the Fermi level in states/eV/cell: 0.00
VASP energy in eV/cell: -63.14
Energy relative to the elements, uncorrected in eV/atom: -2.08
Volume in Å³/cell: 261.1
Symmetry: No. 146

Unit cell a=7.352 b=7.352 c=7.352 alpha=56.93 beta=56.93 gamma=56.93
Element x y z (fractional)
1 Ac 0.000 0.000 0.000
2 Er 0.483 0.483 0.483
3 Tm 0.281 0.281 0.281
4 Tm 0.789 0.789 0.789
5 S 0.071 0.639 0.434
6 S 0.183 0.567 0.890
7 S 0.434 0.071 0.639
8 S 0.567 0.890 0.183
9 S 0.639 0.434 0.071
10 S 0.890 0.183 0.567

---

## OsSe2Cl (PBE)

Data for crystalline OsSe2Cl at its relaxed geometry.

M_tot in μB/cell: 0.00
Density of states at the Fermi level in states/eV/cell: 4.70
VASP energy in eV/cell: -18.77
Energy relative to the elements, uncorrected in eV/atom: 0.32
Volume in Å³/cell: 89.2
Symmetry: No. 160
Relative energy among the computed polymorphs in eV per formula unit: 1.31

Unit cell a=10.508 b=10.508 c=10.508 alpha=17.26 beta=17.26 gamma=17.26
Element x y z (fractional)
1 Os 0.000 0.000 0.000
2 Se 0.281 0.281 0.281
3 Se 0.518 0.518 0.518
4 Cl 0.727 0.727 0.727

---

## Be2GeMo (PBE)

Data for crystalline Be2GeMo at its relaxed geometry.

Calculated formation energy in meV per atom: 393
M_tot in μB/cell: 0.00
Density of states at the Fermi level in states/eV/cell: 0.10
VASP energy in eV/cell: -42.66
Volume in Å³/cell: 103.1
Symmetry: No. 122

Unit cell a=5.189 b=5.189 c=5.189 alpha=103.23 beta=103.23 gamma=122.84
Element x y z (fractional)
1 Be 0.110 0.125 0.485
2 Be 0.375 0.890 0.015
3 Be 0.640 0.625 0.515
4 Be 0.875 0.360 0.985
5 Ge 0.000 0.000 0.000
6 Ge 0.750 0.250 0.500
7 Mo 0.250 0.750 0.500
8 Mo 0.500 0.500 0.000

---

## ZnSbOs2 (PBE)

Data for crystalline ZnSbOs2 at its relaxed geometry.

M_tot in μB/cell: 0.00
Density of states at the Fermi level in states/eV/cell: 2.94
VASP energy in eV/cell: -26.30
Energy relative to the elements, uncorrected in eV/atom: 0.39
Volume in Å³/cell: 62.0
Symmetry: No. 225
Relative energy among the computed polymorphs in eV per formula unit: 0.19

Unit cell a=4.443 b=4.443 c=4.443 alpha=60.00 beta=60.00 gamma=60.00
Element x y z (fractional)
1 Zn 0.000 0.000 0.000
2 Sb 0.500 0.500 0.500
3 Os 0.250 0.250 0.250
4 Os 0.750 0.750 0.750

---

## NdHoCrN4 (PBE)

Data for crystalline NdHoCrN4 at its relaxed geometry.

M_tot in μB/cell: 0.00
VASP energy in eV/cell: -120.01
Energy relative to the elements, uncorrected in eV/atom: -1.11
Volume in Å³/cell: 197.8
Symmetry: No. 11

Unit cell a=5.566 b=5.501 c=6.799 alpha=90.00 beta=108.10 gamma=90.00
Element x y z (fractional)
1 Nd 0.224 0.250 0.434
2 Nd 0.776 0.750 0.566
3 Ho 0.297 0.250 0.962
4 Ho 0.703 0.750 0.038
5 Cr 0.257 0.750 0.190
6 Cr 0.743 0.250 0.810
7 N 0.057 0.750 0.345
8 N 0.081 0.750 0.936
9 N 0.468 0.505 0.245
10 N 0.468 0.995 0.245
11 N 0.532 0.005 0.755
12 N 0.532 0.495 0.755
13 N 0.919 0.250 0.064
14 N 0.943 0.250 0.655

---

## Y2CuTe (PBE)

Data for crystalline Y2CuTe at its relaxed geometry.

M_tot in μB/cell: 0.00
Density of states at the Fermi level in states/eV/cell: 3.81
VASP energy in eV/cell: -22.18
Energy relative to the elements, uncorrected in eV/atom: -0.50
Volume in Å³/cell: 97.1
Symmetry: No. 139

Unit cell a=5.382 b=5.382 c=5.382 alpha=126.65 beta=126.65 gamma=78.82
Element x y z (fractional)
1 Y 0.250 0.750 0.500
2 Y 0.750 0.250 0.500
3 Cu 0.000 0.000 0.000
4 Te 0.500 0.500 0.000

---

## Sr2LiAl2 (PBE)

Data for crystalline Sr2LiAl2 at its relaxed geometry.

Calculated formation energy in meV per atom: -32
M_tot in μB/cell: 0.00
Density of states at the Fermi level in states/eV/cell: 6.37
VASP energy in eV/cell: -25.85
Volume in Å³/cell: 321.9
Symmetry: No. 127
Relative energy among the computed polymorphs in eV per formula unit: 0.43

Unit cell a=8.583 b=8.583 c=4.369 alpha=90.00 beta=90.00 gamma=90.00
Element x y z (fractional)
1 Sr 0.180 0.320 0.000
2 Sr 0.320 0.820 0.000
3 Sr 0.680 0.180 0.000
4 Sr 0.820 0.680 0.000
5 Li 0.000 0.000 0.500
6 Li 0.500 0.500 0.500
7 Al 0.112 0.612 0.500
8 Al 0.388 0.112 0.500
9 Al 0.612 0.888 0.500
10 Al 0.888 0.388 0.500

---

## MgRu3Cl (PBE)

Data for crystalline MgRu3Cl at its relaxed geometry.

M_tot in μB/cell: 7.00
Density of states at the Fermi level in states/eV/cell: 7.24
VASP energy in eV/cell: -21.33
Energy relative to the elements, uncorrected in eV/atom: 1.99
Volume in Å³/cell: 107.1
Symmetry: No. 221
Relative energy among the computed polymorphs in eV per formula unit: 5.81

Unit cell a=4.749 b=4.749 c=4.749 alpha=90.00 beta=90.00 gamma=90.00
Element x y z (fractional)
1 Mg 0.000 0.000 0.000
2 Ru 0.000 0.000 0.500
3 Ru 0.000 0.500 0.000
4 Ru 0.500 0.000 0.000
5 Cl 0.500 0.500 0.500

---

## ReTe2Os (PBE)

Data for crystalline ReTe2Os at its relaxed geometry.

M_tot in μB/cell: 0.00
Density of states at the Fermi level in states/eV/cell: 3.92
VASP energy in eV/cell: -26.29
Energy relative to the elements, uncorrected in eV/atom: 0.92
Volume in Å³/cell: 73.2
Symmetry: No. 225
Relative energy among the computed polymorphs in eV per formula unit: 2.06

Unit cell a=4.695 b=4.695 c=4.695 alpha=60.00 beta=60.00 gamma=60.00
Element x y z (fractional)
1 Re 0.000 0.000 0.000
2 Te 0.250 0.250 0.250
3 Te 0.750 0.750 0.750
4 Os 0.500 0.500 0.500

---

## NaSrBe2H6 (PBE)

Data for crystalline NaSrBe2H6 at its relaxed geometry.

M_tot in μB/cell: 0.00
Density of states at the Fermi level in states/eV/cell: 1.09
VASP energy in eV/cell: -32.22
Volume in Å³/cell: 119.4
Symmetry: No. 148

Unit cell a=6.719 b=6.719 c=6.719 alpha=41.31 beta=41.31 gamma=41.31
Element x y z (fractional)
1 Na 0.000 0.000 0.000
2 Sr 0.500 0.500 0.500
3 Be 0.250 0.250 0.250
4 Be 0.750 0.750 0.750
5 H 0.066 0.074 0.569
6 H 0.074 0.569 0.066
7 H 0.431 0.934 0.926
8 H 0.569 0.066 0.074
9 H 0.926 0.431 0.934
10 H 0.934 0.926 0.431

---

## Na3BiRh3O8 (PBE)

Data for crystalline Na3BiRh3O8 at its relaxed geometry.

M_tot in μB/cell: 0.28
Density of states at the Fermi level in states/eV/cell: 5.52
VASP energy in eV/cell: -84.95
Energy relative to the elements, uncorrected in eV/atom: -1.03
Volume in Å³/cell: 192.6
Symmetry: No. 166

Unit cell a=6.573 b=6.573 c=6.573 alpha=58.22 beta=58.22 gamma=58.22
Element x y z (fractional)
1 Na 0.000 0.500 0.500
2 Na 0.500 0.000 0.500
3 Na 0.500 0.500 0.000
4 Bi 0.500 0.500 0.500
5 Rh 0.000 0.000 0.500
6 Rh 0.000 0.500 0.000
7 Rh 0.500 0.000 0.000
8 O 0.209 0.748 0.748
9 O 0.230 0.230 0.230
10 O 0.252 0.252 0.791
11 O 0.252 0.791 0.252
12 O 0.748 0.209 0.748
13 O 0.748 0.748 0.209
14 O 0.770 0.770 0.770
15 O 0.791 0.252 0.252

---

## TeBr (PBE)

Data for crystalline TeBr at its relaxed geometry.

M_tot in μB/cell: 0.00
Density of states at the Fermi level in states/eV/cell: 2.09
VASP energy in eV/cell: -8.94
Energy relative to the elements, uncorrected in eV/atom: 0.17
Volume in Å³/cell: 107.6
Symmetry: No. 227

Unit cell a=5.338 b=5.338 c=5.338 alpha=60.00 beta=60.00 gamma=60.00
Element x y z (fractional)
1 Te 0.125 0.125 0.125
2 Te 0.875 0.875 0.875
3 Br 0.375 0.375 0.375
4 Br 0.625 0.625 0.625

---

## Ti4NbSn2 (PBE)

Data for crystalline Ti4NbSn2 at its relaxed geometry.

Calculated formation energy in meV per atom: -65
M_tot in μB/cell: 0.00
Density of states at the Fermi level in states/eV/cell: 16.92
VASP energy in eV/cell: -100.22
Volume in Å³/cell: 266.1
Symmetry: No. 11
Relative energy among the computed polymorphs in eV per formula unit: 0.00

Unit cell a=7.181 b=5.615 c=7.500 alpha=90.00 beta=118.36 gamma=90.00
Element x y z (fractional)
1 Ti 0.011 0.250 0.002
2 Ti 0.133 0.750 0.420
3 Ti 0.425 0.502 0.272
4 Ti 0.425 0.998 0.272
5 Ti 0.575 0.002 0.728
6 Ti 0.575 0.498 0.728
7 Ti 0.867 0.250 0.580
8 Ti 0.989 0.750 0.998
9 Nb 0.238 0.750 0.835
10 Nb 0.762 0.250 0.165
11 Sn 0.197 0.250 0.436
12 Sn 0.319 0.250 0.887
13 Sn 0.681 0.750 0.113
14 Sn 0.803 0.750 0.564

---

## Tb2PuPt9 (PBE)

Data for crystalline Tb2PuPt9 at its relaxed geometry.

Calculated formation energy in meV per atom: -865
M_tot in μB/cell: 5.17
Density of states at the Fermi level in states/eV/cell: 18.89
VASP energy in eV/cell: -88.34
Volume in Å³/cell: 225.1
Symmetry: No. 166

Unit cell a=9.385 b=9.385 c=9.385 alpha=33.57 beta=33.57 gamma=33.57
Element x y z (fractional)
1 Tb 0.139 0.139 0.139
2 Tb 0.861 0.861 0.861
3 Pu 0.000 0.000 0.000
4 Pt 0.081 0.587 0.587
5 Pt 0.333 0.333 0.333
6 Pt 0.413 0.413 0.919
7 Pt 0.413 0.919 0.413
8 Pt 0.500 0.500 0.500
9 Pt 0.587 0.081 0.587
10 Pt 0.587 0.587 0.081
11 Pt 0.667 0.667 0.667
12 Pt 0.919 0.413 0.413

---

## BaZr2Sc (PBE)

Data for crystalline BaZr2Sc at its relaxed geometry.

Calculated formation energy in meV per atom: 408
M_tot in μB/cell: 0.00
Density of states at the Fermi level in states/eV/cell: 6.51
VASP energy in eV/cell: -23.72
Volume in Å³/cell: 110.6
Symmetry: No. 166
Relative energy among the computed polymorphs in eV per formula unit: 0.50

Unit cell a=11.607 b=11.607 c=11.607 alpha=16.55 beta=16.55 gamma=16.55
Element x y z (fractional)
1 Ba 0.000 0.000 0.000
2 Zr 0.241 0.241 0.241
3 Zr 0.759 0.759 0.759
4 Sc 0.500 0.500 0.500

---

## BaCaYNbO6 (PBE)

Data for crystalline BaCaYNbO6 at its relaxed geometry.

M_tot in μB/cell: 0.00
Density of states at the Fermi level in states/eV/cell: 0.00
VASP energy in eV/cell: -79.53
Energy relative to the elements, uncorrected in eV/atom: -2.93
Volume in Å³/cell: 152.1
Symmetry: No. 216

Unit cell a=5.991 b=5.991 c=5.991 alpha=60.00 beta=60.00 gamma=60.00
Element x y z (fractional)
1 Ba 0.000 0.000 0.000
2 Ca 0.500 0.500 0.500
3 Y 0.750 0.750 0.750
4 Nb 0.250 0.250 0.250
5 O 0.013 0.013 0.487
6 O 0.013 0.487 0.013
7 O 0.013 0.487 0.487
8 O 0.487 0.013 0.013
9 O 0.487 0.013 0.487
10 O 0.487 0.487 0.013

---

## EuVH3 (PBE)

Data for crystalline EuVH3 at its relaxed geometry.

M_tot in μB/cell: 5.03
Density of states at the Fermi level in states/eV/cell: 2.84
VASP energy in eV/cell: -30.67
Volume in Å³/cell: 53.1
Symmetry: No. 221

Unit cell a=3.759 b=3.759 c=3.759 alpha=90.00 beta=90.00 gamma=90.00
Element x y z (fractional)
1 Eu 0.000 0.000 0.000
2 V 0.500 0.500 0.500
3 H 0.000 0.500 0.500
4 H 0.500 0.000 0.500
5 H 0.500 0.500 0.000

---

## Li2CdCo (PBE)

Data for crystalline Li2CdCo at its relaxed geometry.

Calculated formation energy in meV per atom: 186
M_tot in μB/cell: 1.27
Density of states at the Fermi level in states/eV/cell: 3.05
VASP energy in eV/cell: -11.10
Volume in Å³/cell: 64.8
Symmetry: No. 160

Unit cell a=9.619 b=9.619 c=9.619 alpha=16.80 beta=16.80 gamma=16.80
Element x y z (fractional)
1 Li 0.000 0.000 0.000
2 Li 0.242 0.242 0.242
3 Cd 0.489 0.489 0.489
4 Co 0.740 0.740 0.740

---

## BaPuAs2 (PBE)

Data for crystalline BaPuAs2 at its relaxed geometry.

Calculated formation energy in meV per atom: -855
M_tot in μB/cell: 4.01
Density of states at the Fermi level in states/eV/cell: 12.69
VASP energy in eV/cell: -28.97
Volume in Å³/cell: 124.6
Symmetry: No. 164
Relative energy among the computed polymorphs in eV per formula unit: 0.46

Unit cell a=4.319 b=4.319 c=7.716 alpha=90.00 beta=90.00 gamma=120.00
Element x y z (fractional)
1 Ba 0.000 0.000 0.000
2 Pu 0.000 0.000 0.500
3 As 0.333 0.667 0.701
4 As 0.667 0.333 0.299

---

## NbBrCl3 (PBE)

Data for crystalline NbBrCl3 at its relaxed geometry.

M_tot in μB/cell: 3.73
Density of states at the Fermi level in states/eV/cell: 10.27
VASP energy in eV/cell: -12.76
Energy relative to the elements, uncorrected in eV/atom: 0.90
Volume in Å³/cell: 148.1
Symmetry: No. 221
Relative energy among the computed polymorphs in eV per formula unit: 10.19

Unit cell a=5.291 b=5.291 c=5.291 alpha=90.00 beta=90.00 gamma=90.00
Element x y z (fractional)
1 Nb 0.000 0.000 0.000
2 Br 0.500 0.500 0.500
3 Cl 0.000 0.500 0.500
4 Cl 0.500 0.000 0.500
5 Cl 0.500 0.500 0.000

---

## La2MgGa3Ag4 (PBE)

Data for crystalline La2MgGa3Ag4 at its relaxed geometry.

Calculated formation energy in meV per atom: -360
M_tot in μB/cell: 0.00
Density of states at the Fermi level in states/eV/cell: 8.07
VASP energy in eV/cell: -35.53
Volume in Å³/cell: 221.2
Symmetry: No. 115

Unit cell a=4.495 b=4.495 c=10.947 alpha=90.00 beta=90.00 gamma=90.00
Element x y z (fractional)
1 La 0.000 0.500 0.238
2 La 0.500 0.000 0.762
3 Mg 0.000 0.000 0.500
4 Ga 0.000 0.500 0.869
5 Ga 0.500 0.000 0.131
6 Ga 0.500 0.500 0.500
7 Ag 0.000 0.000 0.000
8 Ag 0.000 0.500 0.636
9 Ag 0.500 0.000 0.364
10 Ag 0.500 0.500 0.000

---

## CaZr2Co2 (PBE)

Data for crystalline CaZr2Co2 at its relaxed geometry.

Calculated formation energy in meV per atom: -90
M_tot in μB/cell: 0.00
Density of states at the Fermi level in states/eV/cell: 3.94
VASP energy in eV/cell: -33.76
Volume in Å³/cell: 101.1
Symmetry: No. 139
Relative energy among the computed polymorphs in eV per formula unit: 0.00

Unit cell a=6.070 b=6.070 c=6.070 alpha=137.46 beta=137.46 gamma=61.74
Element x y z (fractional)
1 Ca 0.000 0.000 0.000
2 Zr 0.250 0.750 0.500
3 Zr 0.750 0.250 0.500
4 Co 0.389 0.389 0.000
5 Co 0.611 0.611 0.000

---

## CaNbCuBr2 (PBE)

Data for crystalline CaNbCuBr2 at its relaxed geometry.

M_tot in μB/cell: 4.00
Density of states at the Fermi level in states/eV/cell: 6.56
VASP energy in eV/cell: -17.20
Energy relative to the elements, uncorrected in eV/atom: 0.46
Volume in Å³/cell: 161.1
Symmetry: No. 123

Unit cell a=5.403 b=5.403 c=5.520 alpha=90.00 beta=90.00 gamma=90.00
Element x y z (fractional)
1 Ca 0.000 0.000 0.000
2 Nb 0.500 0.500 0.500
3 Cu 0.000 0.000 0.500
4 Br 0.000 0.500 0.000
5 Br 0.500 0.000 0.000

---

## NaPrAg2 (PBE)

Data for crystalline NaPrAg2 at its relaxed geometry.

Calculated formation energy in meV per atom: -100
M_tot in μB/cell: 0.00
Density of states at the Fermi level in states/eV/cell: 3.24
VASP energy in eV/cell: -12.20
Volume in Å³/cell: 101.5
Symmetry: No. 123
Relative energy among the computed polymorphs in eV per formula unit: 0.07

Unit cell a=3.715 b=3.715 c=7.357 alpha=90.00 beta=90.00 gamma=90.00
Element x y z (fractional)
1 Na 0.000 0.000 0.000
2 Pr 0.000 0.000 0.500
3 Ag 0.500 0.500 0.245
4 Ag 0.500 0.500 0.755

---

## SmEuP2 (PBE)

Data for crystalline SmEuP2 at its relaxed geometry.

Calculated formation energy in meV per atom: -1305
M_tot in μB/cell: 6.35
Density of states at the Fermi level in states/eV/cell: 9.66
VASP energy in eV/cell: -31.03
Volume in Å³/cell: 100.4
Symmetry: No. 166

Unit cell a=7.183 b=7.183 c=7.183 alpha=33.47 beta=33.47 gamma=33.47
Element x y z (fractional)
1 Sm 0.000 0.000 0.000
2 Eu 0.500 0.500 0.500
3 P 0.252 0.252 0.252
4 P 0.748 0.748 0.748

---

## Y2ErIn3 (PBE)

Data for crystalline Y2ErIn3 at its relaxed geometry.

Calculated formation energy in meV per atom: -479
M_tot in μB/cell: 0.00
Density of states at the Fermi level in states/eV/cell: 3.31
VASP energy in eV/cell: -28.58
Volume in Å³/cell: 158.6
Symmetry: No. 123
Relative energy among the computed polymorphs in eV per formula unit: 0.00

Unit cell a=3.734 b=3.734 c=11.376 alpha=90.00 beta=90.00 gamma=90.00
Element x y z (fractional)
1 Y 0.000 0.000 0.168
2 Y 0.000 0.000 0.832
3 Er 0.000 0.000 0.500
4 In 0.500 0.500 0.000
5 In 0.500 0.500 0.337
6 In 0.500 0.500 0.663